Entry 1:
The following is a DFT calculation (GGA-PBE) of a geometry-optimized Pa2TlBi structure.

Cell lengths 4.4660, 4.4660, 7.6085 Å; angles 72.93, 72.93, 60.00 degrees
Last column: magnetic moment on the atom in μB.
Element x y z (fractional)
Pa  0.7470  0.7470  0.7591  0.28
Tl  0.0000  0.0000  0.0000  -0.01
Pa  0.2530  0.2530  0.2409  0.28
Bi  0.5000  0.5000  0.5000  -0.01

Values from the calculation:
energy of formation from the pure elements: 0.281 eV/atom

***

Entry 2:
The following is a DFT calculation (GGA-PBE) of a geometry-optimized RhAuSe2Br structure.

Cell lengths 4.8466, 4.8466, 5.1467 Å; angles 90.00, 90.00, 90.00 degrees
Element x y z (fractional)
Au  0.5000  0.5000  0.5000
Rh  0.0000  0.0000  0.0000
Se  0.0000  0.5000  0.0000
Br  0.0000  0.0000  0.5000
Se  0.5000  0.0000  0.0000

Values from the calculation:
uncorrected energy: -16.851 eV for the cell shown

***

Entry 3:
The following is a DFT calculation (GGA-PBE) of a geometry-optimized RbAl2Br8 structure.

Cell lengths 7.8772, 7.8814, 8.8911 Å; angles 106.09, 90.00, 119.98 degrees
Last column: magnetic moment on the atom in μB.
Element x y z (fractional)
Al  0.2194  0.4387  0.7046  0.00
Rb  0.0000  0.0000  0.0000  0.00
Br  0.1468  0.2936  0.4313  0.09
Br  0.0802  0.6812  0.1953  0.12
Br  0.8532  0.7064  0.5687  0.09
Br  0.6010  0.6812  0.1953  0.12
Al  0.7806  0.5613  0.2954  0.00
Br  0.6026  0.2052  0.2148  0.05
Br  0.9198  0.3188  0.8047  0.12
Br  0.3974  0.7948  0.7852  0.05
Br  0.3990  0.3188  0.8047  0.12

Values from the calculation:
uncorrected energy: -33.862 eV for the cell shown

***

Entry 4:
The following is a DFT calculation (GGA-PBE) of a geometry-optimized SiPt2Pb structure.

Cell lengths 3.0521, 3.0521, 7.8068 Å; angles 90.00, 90.00, 90.01 degrees
Element x y z (fractional)
Pt  0.0000  0.0000  0.0700
Pb  0.5000  0.5000  0.7500
Si  0.5000  0.5000  0.2500
Pt  0.0000  0.0000  0.4300

Values from the calculation:
uncorrected energy: -22.177 eV for the cell shown

***

Entry 5:
The following is a DFT calculation (GGA-PBE) of a geometry-optimized TbPm3Ho2Te6 structure.

Cell lengths 4.3689, 8.8950, 9.8881 Å; angles 103.98, 102.76, 90.00 degrees
Element x y z (fractional)
Pm  0.5000  0.5000  0.0000
Ho  0.1658  0.3314  0.3317
Pm  0.1653  0.8324  0.3306
Ho  0.8342  0.6686  0.6683
Te  0.9972  0.7539  0.9944
Te  0.3344  0.9104  0.6689
Pm  0.8347  0.1676  0.6694
Te  0.6696  0.5764  0.3392
Tb  0.5000  0.0000  0.0000
Te  0.3304  0.4236  0.6608
Te  0.0028  0.2461  0.0056
Te  0.6656  0.0896  0.3311

Values from the calculation:
uncorrected energy: -62.980 eV for the cell shown

***

Entry 6:
The following is a DFT calculation (GGA-PBE) of a geometry-optimized PmPrPb4 structure.

Cell lengths 8.4165, 6.7018, 8.4378 Å; angles 105.43, 113.23, 105.24 degrees
Element x y z (fractional)
Pr  0.4156  0.6656  0.3312
Pb  0.6473  0.4358  0.1443
Pb  0.8605  0.7366  0.6191
Pr  0.5844  0.3344  0.6688
Pb  0.0030  0.2915  0.8557
Pb  0.9970  0.7085  0.1443
Pb  0.3527  0.5642  0.8557
Pb  0.2586  0.8825  0.6191
Pb  0.1395  0.2634  0.3809
Pb  0.7414  0.1175  0.3809
Pm  0.2695  0.0195  0.0389
Pm  0.7305  0.9805  0.9611

Values from the calculation:
energy of formation from the pure elements: -0.247 eV/atom

***

Entry 7:
The following is a DFT calculation (GGA-PBE) of a geometry-optimized La12Dy2Ho5 structure.

Cell lengths 11.7704, 8.8846, 9.5796 Å; angles 69.85, 90.00, 131.48 degrees
Element x y z (fractional)
La  0.1560  0.7928  0.4053
Ho  0.0000  0.0000  0.5000
La  0.4777  0.4306  0.1845
Dy  0.7154  0.0000  0.0000
La  0.0470  0.5694  0.8155
La  0.5223  0.5694  0.8155
Ho  0.7810  0.5619  0.3629
La  0.9033  0.8066  0.9196
Ho  0.6959  0.3918  0.7700
La  0.4387  0.8775  0.7795
La  0.3633  0.2072  0.5947
Ho  0.3041  0.6082  0.2300
La  0.6367  0.7928  0.4053
Dy  0.2846  0.0000  0.0000
La  0.9530  0.4306  0.1845
La  0.0967  0.1934  0.0804
La  0.5613  0.1225  0.2205
Ho  0.2190  0.4381  0.6371
La  0.8440  0.2072  0.5947

Values from the calculation:
energy of formation from the pure elements: 0.100 eV/atom

***

Entry 8:
The following is a DFT calculation (GGA-PBE) of a geometry-optimized ReSbSe structure.

Cell lengths 4.4637, 4.4637, 3.2986 Å; angles 90.00, 90.00, 120.00 degrees
Element x y z (fractional)
Sb  0.6667  0.3333  0.3339
Se  0.3333  0.6667  0.8334
Re  0.0000  0.0000  0.8327

Values from the calculation:
uncorrected energy: -18.327 eV for the cell shown

***

Entry 9:
The following is a DFT calculation (GGA-PBE) of a geometry-optimized PuCuH2Cl8 structure.

Cell lengths 7.5863, 6.5502, 7.1903 Å; angles 87.43, 76.34, 93.88 degrees
Last column: magnetic moment on the atom in μB.
Element x y z (fractional)
Cl  0.3461  0.2761  0.4082  0.00
H  0.6555  0.7263  0.4097  0.00
Cl  0.1283  0.7937  0.2511  -0.13
Cl  0.7107  0.7641  0.0861  -0.10
Cl  0.1224  0.7893  0.7032  -0.13
Cl  0.6539  0.7239  0.5918  0.00
Cl  0.2893  0.2359  0.9139  -0.10
H  0.3445  0.2737  0.5903  0.00
Cu  0.0000  0.0000  0.5000  -0.43
Cl  0.8717  0.2063  0.7489  -0.13
Pu  0.0000  0.0000  0.0000  4.24
Cl  0.8776  0.2107  0.2968  -0.13

Values from the calculation:
uncorrected energy: -51.653 eV for the cell shown

***

Entry 10:
The following is a DFT calculation (GGA-PBE) of a geometry-optimized Zn3Cu2Pt structure.

Cell lengths 4.2574, 4.2574, 10.4812 Å; angles 90.00, 90.00, 120.00 degrees
Element x y z (fractional)
Pt  0.3333  0.6667  0.6696
Cu  0.3333  0.6667  0.1666
Zn  0.3333  0.6667  0.9215
Zn  0.0000  0.0000  0.7550
Pt  0.6667  0.3333  0.3304
Zn  0.3333  0.6667  0.4185
Zn  0.0000  0.0000  0.2450
Zn  0.6667  0.3333  0.0785
Cu  0.0000  0.0000  0.5000
Cu  0.0000  0.0000  0.0000
Zn  0.6667  0.3333  0.5815
Cu  0.6667  0.3333  0.8334

Values from the calculation:
energy of formation from the pure elements: -0.255 eV/atom

***

Entry 11:
The following is a DFT calculation (GGA-PBE) of a geometry-optimized BeNb2Hg structure.

Cell lengths 4.5867, 4.5867, 4.5867 Å; angles 60.00, 60.00, 60.00 degrees
Element x y z (fractional)
Nb  0.2500  0.2500  0.2500
Hg  0.5000  0.5000  0.5000
Be  0.0000  0.0000  0.0000
Nb  0.7500  0.7500  0.7500

Values from the calculation:
energy of formation from the pure elements: 0.443 eV/atom

***

Entry 12:
The following is a DFT calculation (GGA-PBE) of a geometry-optimized LaPmCo structure.

Cell lengths 4.9425, 3.4926, 13.2256 Å; angles 90.00, 90.00, 135.04 degrees
Last column: magnetic moment on the atom in μB.
Element x y z (fractional)
La  0.6957  0.3914  0.6241  0.01
Co  0.1964  0.3928  0.5000  -0.08
Pm  0.1931  0.3861  0.1235  -0.09
Pm  0.1931  0.3861  0.8765  -0.09
Co  0.6926  0.3853  0.0000  0.80
La  0.6957  0.3914  0.3759  0.01

Values from the calculation:
energy of formation from the pure elements: -0.001 eV/atom

***

| no. | size of the total moment (μB/f.u.) |
| --- | --- |
| 1 | 0.61 |
| 2 | 0.00 |
| 3 | 1.01 |
| 4 | 0.00 |
| 5 | 0.00 |
| 6 | 0.00 |
| 7 | 0.00 |
| 8 | 0.00 |
| 9 | 3.00 |
| 10 | 0.00 |
| 11 | 0.00 |
| 12 | 0.21 |